{"formula": "Er4P3S", "functional": "PBE", "state": "optimized geometry", "lattice_angstrom": [[5.097, 0.005, -2.260], [-1.006, 4.997, -2.259], [-0.021, -0.026, 6.831]], "species": ["P", "P", "P", "S", "Er", "Er", "Er", "Er"], "fractional_positions": [[0.500, 0.500, 0.000], [0.750, 0.250, 0.500], [0.250, 0.750, 0.500], [0.000, 0.000, 0.000], [0.000, 0.500, 0.000], [0.500, 0.000, 0.000], [0.253, 0.253, 0.506], [0.747, 0.747, 0.494]], "e_form_raw_ev_per_fu": -14.1, "density_g_cm3": 7.603, "space_group": "I4/mmm (139)", "volume_a3_per_cell": 173.4}